Material: Pm4PdRu2
Method: DFT, PBE-GGA
State: optimized geometry

POSCAR file:
```
Pm4PdRu2
1.0
6.8934 0.0000 0.0000
-2.0864 7.5249 0.0000
-2.4022 -3.7610 6.5793
Pm Pd Ru
8 2 4
direct
0.0000 0.0000 0.0000
0.0249 0.3268 0.4573
0.1106 0.6106 0.2213
0.2690 0.0309 0.6695
0.4520 0.8324 0.9951
0.5676 0.4478 0.2258
0.6785 0.4803 0.7639
0.7098 0.9714 0.5513
0.1280 0.3599 0.8611
0.3783 0.1101 0.3600
0.4389 0.6804 0.5967
0.7187 0.1943 0.9714
0.8576 0.8332 0.2493
0.9531 0.6943 0.6243
```

Properties
- Electronic total energy: -6.4516 eV/atom
- ΔH_f (0 K): -344.9 meV/atom
- Volume: 24.4 A^3/atom
- Energy above the most stable polymorph in this dataset: 9.1 meV/atom
- Magnetic moment: 0.0 Bohr magnetons per cell